Record 1
VASP calculation (PBE) on an optimized crystal structure of EuGdHgPb.

Calculated values
The density of states at the Fermi level comes out at 5.13 states/eV/f.u. As for the total energy: -121.885 eV per cell. For the total magnetization, the calculation gives 14.7 μB/f.u.

a b c (Å): 7.7533 7.7533 7.7533
angles (deg): 90.00 90.00 90.00
Fractional coordinates of all 16 atoms:
Eu: 0.0000 0.0000 0.0000
Eu: 0.0000 0.5000 0.5000
Eu: 0.5000 0.0000 0.5000
Eu: 0.5000 0.5000 0.0000
Gd: 0.0000 0.0000 0.5000
Gd: 0.0000 0.5000 0.0000
Gd: 0.5000 0.0000 0.0000
Gd: 0.5000 0.5000 0.5000
Hg: 0.2500 0.2500 0.7500
Hg: 0.2500 0.7500 0.2500
Hg: 0.7500 0.2500 0.2500
Hg: 0.7500 0.7500 0.7500
Pb: 0.2500 0.2500 0.2500
Pb: 0.2500 0.7500 0.7500
Pb: 0.7500 0.2500 0.7500
Pb: 0.7500 0.7500 0.2500

***

Record 2
VASP calculation (PBE) on an optimized crystal structure of La2Cd2In.

Calculated values
The density of states at the Fermi level comes out at 5.58 states/eV/f.u. As for the total energy: -28.212 eV per cell. For the total magnetization, the calculation gives 0.0 μB/f.u.

a b c (Å): 4.9000 4.9000 13.6968
angles (deg): 90.00 90.00 90.00
Fractional coordinates of all 10 atoms:
La: 0.0000 0.5000 0.2500
La: 0.0000 0.5000 0.7500
La: 0.5000 0.0000 0.2500
La: 0.5000 0.0000 0.7500
Cd: 0.0000 0.0000 0.0965
Cd: 0.0000 0.0000 0.9035
Cd: 0.5000 0.5000 0.4035
Cd: 0.5000 0.5000 0.5965
In: 0.0000 0.0000 0.5000
In: 0.5000 0.5000 0.0000

***

Record 3
VASP calculation (PBE) on an optimized crystal structure of Ac3Ge4Ir2.

Calculated values
The density of states at the Fermi level comes out at 7.57 states/eV/f.u. As for the total energy: -55.459 eV per cell. For the total magnetization, the calculation gives 0.0 μB/f.u.

a b c (Å): 6.3535 6.3535 8.7822
angles (deg): 99.21 99.21 40.04
Fractional coordinates of all 9 atoms:
Ac: 0.0000 0.0000 0.0000
Ac: 0.3326 0.3326 0.3452
Ac: 0.6674 0.6674 0.6548
Ge: 0.0523 0.0523 0.3794
Ge: 0.2691 0.2691 0.9223
Ge: 0.7309 0.7309 0.0777
Ge: 0.9477 0.9477 0.6206
Ir: 0.3954 0.3954 0.7255
Ir: 0.6046 0.6046 0.2745

***

Record 4
VASP calculation (PBE) on an optimized crystal structure of Ca3Pu3CuN8.

Calculated values
The density of states at the Fermi level comes out at 18.09 states/eV/f.u. Its raw formation energy is -0.7192 eV per atom. As for the total energy: -130.488 eV per cell. For the total magnetization, the calculation gives 9.0 μB/f.u.

a b c (Å): 6.8449 6.8449 6.7830
angles (deg): 119.61 119.61 56.89
Fractional coordinates of all 15 atoms:
Ca: 0.0000 0.0000 0.0000
Ca: 0.0000 0.5000 0.0000
Ca: 0.5000 0.0000 0.0000
Pu: 0.0000 0.5000 0.5000
Pu: 0.5000 0.0000 0.5000
Pu: 0.5000 0.5000 0.5000
Cu: 0.0000 0.0000 0.5000
N: 0.2276 0.7464 0.6899
N: 0.2536 0.7724 0.3101
N: 0.2564 0.2564 0.2731
N: 0.2676 0.2676 0.7203
N: 0.7324 0.7324 0.2797
N: 0.7436 0.7436 0.7269
N: 0.7464 0.2276 0.6899
N: 0.7724 0.2536 0.3101

***

Record 5
VASP calculation (PBE) on an optimized crystal structure of LiY2Pt9.

Calculated values
The density of states at the Fermi level comes out at 13.54 states/eV/f.u. As for the total energy: -78.501 eV per cell. For the total magnetization, the calculation gives 0.0 μB/f.u.

a b c (Å): 4.0761 4.0761 12.0192
angles (deg): 90.00 90.00 90.00
Fractional coordinates of all 12 atoms:
Li: 0.0000 0.0000 0.0000
Y: 0.0000 0.0000 0.3247
Y: 0.0000 0.0000 0.6753
Pt: 0.0000 0.5000 0.1504
Pt: 0.0000 0.5000 0.5000
Pt: 0.0000 0.5000 0.8496
Pt: 0.5000 0.0000 0.1504
Pt: 0.5000 0.0000 0.5000
Pt: 0.5000 0.0000 0.8496
Pt: 0.5000 0.5000 0.0000
Pt: 0.5000 0.5000 0.3266
Pt: 0.5000 0.5000 0.6734

***

Record 6
VASP calculation (PBE) on an optimized crystal structure of Sr2YPb.

Calculated values
The density of states at the Fermi level comes out at 4.18 states/eV/f.u. As for the total energy: -28.190 eV per cell. For the total magnetization, the calculation gives 0.0 μB/f.u.

a b c (Å): 4.9075 5.1032 11.3861
angles (deg): 90.00 90.00 90.00
Fractional coordinates of all 8 atoms:
Sr: 0.0000 0.0000 0.2398
Sr: 0.0000 0.0000 0.7602
Sr: 0.5000 0.5000 0.2602
Sr: 0.5000 0.5000 0.7398
Y: 0.0000 0.5000 0.0000
Y: 0.5000 0.0000 0.5000
Pb: 0.0000 0.5000 0.5000
Pb: 0.5000 0.0000 0.0000

***

Record 7
VASP calculation (PBE) on an optimized crystal structure of Ac2NdReN4.

Calculated values
The density of states at the Fermi level comes out at 2.59 states/eV/f.u. Its raw formation energy is -0.6716 eV per atom. As for the total energy: -128.214 eV per cell. For the total magnetization, the calculation gives 0.0 μB/f.u.

a b c (Å): 6.6014 6.6014 12.8190
angles (deg): 90.00 90.00 148.26
Fractional coordinates of all 16 atoms:
Ac: 0.1327 0.8673 0.5400
Ac: 0.1327 0.8673 0.9600
Ac: 0.8673 0.1327 0.0400
Ac: 0.8673 0.1327 0.4600
Nd: 0.3738 0.6262 0.7500
Nd: 0.6262 0.3738 0.2500
Re: 0.3435 0.6565 0.2500
Re: 0.6565 0.3435 0.7500
N: 0.0916 0.9084 0.7500
N: 0.2234 0.7766 0.1455
N: 0.2234 0.7766 0.3545
N: 0.5000 0.5000 0.0000
N: 0.5000 0.5000 0.5000
N: 0.7766 0.2234 0.6455
N: 0.7766 0.2234 0.8545
N: 0.9084 0.0916 0.2500

***

Record 8
VASP calculation (PBE) on an optimized crystal structure of Al2Cu7Au2.

Calculated values
The density of states at the Fermi level comes out at 3.20 states/eV/f.u. As for the total energy: -43.425 eV per cell. For the total magnetization, the calculation gives 0.0 μB/f.u.

a b c (Å): 6.1170 6.1170 4.5462
angles (deg): 106.78 106.78 90.32
Fractional coordinates of all 11 atoms:
Al: 0.2243 0.7757 0.0000
Al: 0.7757 0.2243 0.0000
Cu: 0.0000 0.0000 0.5000
Cu: 0.0763 0.5999 0.3533
Cu: 0.4001 0.9237 0.6467
Cu: 0.4153 0.4153 0.6984
Cu: 0.5847 0.5847 0.3016
Cu: 0.5999 0.0763 0.3533
Cu: 0.9237 0.4001 0.6467
Au: 0.2312 0.2312 0.0742
Au: 0.7688 0.7688 0.9258